[1]
19
Lattice="7.556 -0.083 -0.117 -1.953 7.299 -0.117 -1.953 -2.516 6.853" Properties=species:S:1:pos:R:3 comment="PrSn6Pd12 (PBE, relaxed)" energy_ev_per_cell=-99.92 delta_e_f_ev_per_fu=-8.8 pbc="T T T"
Pr 0.000 0.000 0.000
Sn 4.201 1.265 1.781
Sn 0.184 0.237 4.725
Sn 0.184 4.383 1.781
Sn 3.465 4.464 1.895
Sn -0.551 3.436 4.839
Sn 3.465 0.318 4.839
Pd 5.473 -0.482 3.310
Pd 4.148 2.914 4.104
Pd 1.795 2.312 5.829
Pd 1.855 -0.040 2.516
Pd 1.855 2.389 0.791
Pd -0.499 1.787 2.516
Pd -1.823 1.417 5.984
Pd 1.825 6.116 0.636
Pd -1.823 5.183 3.310
Pd 5.473 3.284 0.636
Pd 1.825 -1.415 5.984
Pd 1.795 4.741 4.104

[2]
4
Lattice="-0.580 1.389 -3.407 -1.937 -3.047 -0.913 -2.930 1.527 1.121" Properties=species:S:1:pos:R:3 comment="CaH2Pd (PBE, relaxed)" energy_ev_per_cell=-16.21 polymorph_energy_mev_per_atom=0 pbc="T T T"
H -0.290 0.695 -1.703
H -0.969 -1.524 -0.456
Ca -2.723 -0.066 -1.599
Pd 0.000 0.000 0.000

[3]
4
Lattice="-1.728 4.093 2.368 0.905 0.636 4.911 3.208 3.567 1.527" Properties=species:S:1:pos:R:3 comment="AcNdCoNi (PBE, relaxed)" energy_ev_per_cell=-21.80 polymorph_energy_mev_per_atom=155 delta_e_f_ev_per_fu=0.0 pbc="T T T"
Ni 0.596 2.074 2.202
Ac 1.193 4.148 4.403
Nd 0.000 0.000 0.000
Co 1.789 6.222 6.605

[4]
16
Lattice="-1.226 -3.162 0.806 3.609 1.765 4.878 -9.345 4.931 5.131" Properties=species:S:1:pos:R:3 comment="BaDy2MnN4 (PBE, relaxed)" raw_formation_energy_ev_per_atom=-1.10 energy_ev_per_cell=-124.79 pbc="T T T"
Ba -6.458 3.732 4.818
Ba -0.504 -0.199 5.996
Dy -2.861 2.812 6.683
Dy -0.229 -1.322 2.005
Dy -4.101 0.721 4.131
Dy -6.733 4.855 8.809
Mn -5.693 2.235 7.650
Mn -1.269 1.298 3.164
N 0.419 0.683 3.317
N -4.939 1.562 6.156
N -7.381 2.851 7.497
N -2.022 1.971 4.658
N -4.672 2.465 2.565
N 0.000 0.000 0.000
N -4.662 3.842 7.983
N -2.299 -0.309 2.831

[5]
5
Lattice="-3.042 0.253 -2.676 1.078 -3.587 -1.565 -2.462 -1.884 2.621" Properties=species:S:1:pos:R:3 comment="Tc3PtC (PBE, relaxed)" energy_ev_per_cell=-45.98 polymorph_energy_mev_per_atom=0 delta_e_f_ev_per_fu=0.4 pbc="T T T"
C 0.000 0.000 0.000
Tc 0.539 -1.793 -0.783
Tc -1.231 -0.942 1.311
Tc -1.521 0.126 -1.338
Pt -2.213 -2.609 -0.810

[6]
10
Lattice="-6.561 -2.402 -0.763 2.182 -6.480 1.629 -3.080 -3.533 5.238" Properties=species:S:1:pos:R:3 comment="Pr2CdSnPt6 (PBE, relaxed)" energy_ev_per_cell=-50.79 delta_e_f_ev_per_fu=-0.1 pbc="T T T"
Pr -1.544 -7.226 3.650
Pr -5.915 -5.187 2.454
Cd -2.189 -4.441 0.433
Sn 0.000 0.000 0.000
Pt 0.009 -5.466 1.034
Pt -3.291 -6.674 0.651
Pt -2.637 -3.984 2.849
Pt -4.388 -3.415 -0.168
Pt -1.088 -2.207 0.215
Pt -4.822 -8.430 3.254

[7]
4
Lattice="9.708 0.011 0.006 9.344 2.634 0.006 9.344 1.297 2.293" Properties=species:S:1:pos:R:3 comment="KCo2Ni (PBE, relaxed)" energy_ev_per_cell=-17.87 polymorph_energy_mev_per_atom=203 delta_e_f_ev_per_fu=3.2 pbc="T T T"
Co 0.437 0.061 0.035
Co 13.762 1.910 1.117
K 7.099 0.985 0.576
Ni 21.298 2.956 1.729

[8]
4
Lattice="5.912 0.010 0.004 2.655 5.282 -0.004 -3.568 -3.804 2.783" Properties=species:S:1:pos:R:3 comment="AlTe2W (PBE, relaxed)" raw_formation_energy_ev_per_atom=0.59 energy_ev_per_cell=-20.63 pbc="T T T"
Te 0.126 0.078 0.000
Te 3.002 -0.766 1.394
Al 1.895 2.192 1.389
W 4.258 2.631 0.000

[9]
4
Lattice="2.041 0.000 6.537 -1.021 1.768 6.537 -1.021 -1.768 6.537" Properties=species:S:1:pos:R:3 comment="SrNbO2 (PBE, relaxed)" raw_formation_energy_ev_per_atom=-2.06 energy_ev_per_cell=-29.92 polymorph_energy_mev_per_atom=0 pbc="T T T"
Sr 0.000 0.000 9.805
Nb 0.000 0.000 0.000
O 0.000 0.000 17.688
O 0.000 0.000 1.923

[10]
12
Lattice="-3.860 -1.410 -3.402 3.357 -3.685 1.902 -5.731 -1.535 7.138" Properties=species:S:1:pos:R:3 comment="Ce3AlSi6Ir2 (PBE, relaxed)" raw_formation_energy_ev_per_atom=-0.37 energy_ev_per_cell=-76.24 pbc="T T T"
Ce -2.340 -3.808 4.233
Ce -3.895 -2.822 1.405
Ce 0.000 0.000 0.000
Al -2.866 -0.768 3.569
Si -1.343 -4.412 1.305
Si -1.097 -1.918 2.039
Si 0.546 -3.722 2.970
Si -5.138 -4.712 3.599
Si -4.891 -2.219 4.333
Si -6.780 -2.909 2.667
Ir -6.757 -3.589 4.970
Ir 0.523 -3.041 0.668

[11]
5
Lattice="3.862 0.000 0.000 0.000 4.231 0.000 0.000 0.000 3.862" Properties=species:S:1:pos:R:3 comment="CrCoB2H (PBE, relaxed)" energy_ev_per_cell=-23.92 pbc="T T T"
Cr 0.000 0.000 0.000
B 0.000 0.000 1.931
B 1.931 0.000 0.000
Co 0.000 2.115 0.000
H 1.931 2.115 1.931

[12]
3
Lattice="-2.295 0.831 -2.384 1.994 -1.379 -2.400 -2.537 -4.946 3.160" Properties=species:S:1:pos:R:3 comment="LaSnRh (PBE, relaxed)" energy_ev_per_cell=-18.09 delta_e_f_ev_per_fu=-1.8 pbc="T T T"
Rh -2.479 -4.798 -1.727
Sn -1.686 -3.275 0.482
La -0.704 -1.350 -2.234